No. 1
! Ti3TcBi (GGA-PBE, relaxed); values from VASP
! - V (Å³/cell) = 107.5
! - energy (eV/atom) = -7.2704
! - polymorph energy (0 for the lowest one) (eV/atom) = 0.000
! - crystal system = cubic
! - E_form (kJ/mol of atoms) = 30.5
&SYSTEM
  ibrav = 0, nat = 5, ntyp = 3
/
ATOMIC_SPECIES
Ti 47.87 Ti.upf
Tc 98.00 Tc.upf
Bi 208.98 Bi.upf
CELL_PARAMETERS angstrom
4.754 0.000 0.000
0.000 4.754 0.000
0.000 0.000 4.754
ATOMIC_POSITIONS angstrom
Ti 0.000 0.000 2.377
Ti 0.000 2.377 0.000
Ti 2.377 0.000 0.000
Tc 0.000 0.000 0.000
Bi 2.377 2.377 2.377

=====

No. 2
! TiV2TcBi (GGA-PBE, relaxed); values from VASP
! - V (Å³/cell) = 110.3
! - energy (eV/atom) = -7.0058
! - crystal system = tetragonal
! - E_form (kJ/mol of atoms) = 103.2
&SYSTEM
  ibrav = 0, nat = 5, ntyp = 4
/
ATOMIC_SPECIES
Ti 47.87 Ti.upf
V 50.94 V.upf
Tc 98.00 Tc.upf
Bi 208.98 Bi.upf
CELL_PARAMETERS angstrom
4.596 0.000 0.000
0.000 4.596 0.000
0.000 0.000 5.221
ATOMIC_POSITIONS angstrom
Ti 0.000 0.000 0.000
V 0.000 2.298 2.610
V 2.298 0.000 2.610
Tc 2.298 2.298 2.610
Bi 2.298 2.298 0.000

=====

No. 3
! TiTcBi2W (GGA-PBE, relaxed); values from VASP
! - V (Å³/cell) = 128.6
! - energy (eV/atom) = -6.1524
! - crystal system = tetragonal
! - E_form (kJ/mol of atoms) = 158.5
&SYSTEM
  ibrav = 0, nat = 5, ntyp = 4
/
ATOMIC_SPECIES
Ti 47.87 Ti.upf
Tc 98.00 Tc.upf
Bi 208.98 Bi.upf
W 183.84 W.upf
CELL_PARAMETERS angstrom
5.304 0.000 0.000
0.000 5.304 0.000
0.000 0.000 4.571
ATOMIC_POSITIONS angstrom
Ti 0.000 0.000 0.000
Tc 2.652 2.652 2.286
Bi 0.000 2.652 0.000
Bi 2.652 0.000 0.000
W 0.000 0.000 2.286

=====

| no. | density of states at the Fermi level (states/eV/cell) |
| --- | --- |
| 1 | 7.659 |
| 2 | 7.252 |
| 3 | 5.001 |